# 1
8
Lattice="3.758 0.000 0.000 0.000 3.758 0.000 0.000 0.000 15.394" Properties=species:S:1:pos:R:3 comment="Pm4Mg3Cu (PBE-GGA, optimized geometry)" crystal_system=tetragonal sg=P4/mmm pbc="T T T"
Pm 0.000 0.000 1.675
Pm 0.000 0.000 5.688
Pm 0.000 0.000 9.706
Pm 0.000 0.000 13.719
Mg 1.879 1.879 3.725
Mg 1.879 1.879 7.697
Mg 1.879 1.879 11.670
Cu 1.879 1.879 0.000

=====

# 2
5
Lattice="5.039 0.000 0.000 0.000 5.039 0.000 0.000 0.000 5.039" Properties=species:S:1:pos:R:3 comment="Li3LaTl (PBE-GGA, optimized geometry)" crystal_system=cubic de_polymorph_ev_per_atom=0.155 sg=Pm-3m pbc="T T T"
Li 0.000 0.000 2.519
Li 0.000 2.519 0.000
Li 2.519 0.000 0.000
La 2.519 2.519 2.519
Tl 0.000 0.000 0.000

=====

Number 1: raw total energy -28.716 eV per cell. Number 2: raw total energy -12.821 eV per cell.